Compound: CsPaAu2
Source: the Alexandria database
Functional: PBE
Structure: optimized geometry

Total magnetization in μB/cell: 2.51
Total energy in eV per cell: -51.0
Calculated formation energy in kJ/mol of formula units: -9

a = 4.1380 Å, b = 4.1380 Å, c = 27.4474 Å
α = 90.00°, β = 90.00°, γ = 120.00°
Space group R-3m (No. 166, hexagonal axes)
Asymmetric unit:
Cs  0.0000  0.0000  0.0000 (multiplicity 3)
Pa  0.0000  0.0000  0.5000 (multiplicity 3)
Au  0.0000  0.0000  0.2277 (multiplicity 6)

Compound: CdPb2W
Source: the Alexandria database
Functional: PBE
Structure: optimized geometry

Total magnetization in μB/cell: 0.00
Total energy in eV per cell: -37.4
Calculated formation energy in kJ/mol of formula units: 249

a = 2.9922 Å, b = 4.8985 Å, c = 14.1372 Å
α = 90.00°, β = 90.00°, γ = 90.00°
Space group Imm2 (No. 44)
Asymmetric unit:
Cd  0.0000  0.0000  0.0000 (multiplicity 2)
Pb  0.0000  0.0000  0.6281 (multiplicity 2)
Pb  0.0000  0.5000  0.8225 (multiplicity 2)
W  0.0000  0.5000  0.3187 (multiplicity 2)

Compound: Sr2Mg17Zn3
Source: the Alexandria database
Functional: PBE
Structure: optimized geometry

Total magnetization in μB/cell: 0.00
Total energy in eV per cell: -100.2
Calculated formation energy in kJ/mol of formula units: 87

a = 11.0768 Å, b = 11.0768 Å, c = 15.9266 Å
α = 90.00°, β = 90.00°, γ = 120.00°
Space group R-3m (No. 166, hexagonal axes)
Asymmetric unit:
Sr  0.0000  0.0000  0.1590 (multiplicity 6)
Mg  0.0000  0.0000  0.3993 (multiplicity 6)
Mg  0.0000  0.2649  0.5000 (multiplicity 18)
Mg  0.0000  0.5000  0.0000 (multiplicity 9)
Mg  0.0042  0.5021  0.6680 (multiplicity 18)
Zn  0.0000  0.5000  0.5000 (multiplicity 9)

Compound: EuZnCu
Source: the Alexandria database
Functional: PBE
Structure: optimized geometry

Total magnetization in μB/cell: 29.17
Relative energy among the computed polymorphs in eV/atom: 0.183
Total energy in eV per cell: -62.9
Calculated formation energy in kJ/mol of formula units: -9

a = 6.5959 Å, b = 6.5959 Å, c = 6.5959 Å
α = 90.00°, β = 90.00°, γ = 90.00°
Space group F-43m (No. 216)
Asymmetric unit:
Eu  0.0000  0.0000  0.0000 (multiplicity 4)
Zn  0.0000  0.0000  0.5000 (multiplicity 4)
Cu  0.2500  0.2500  0.2500 (multiplicity 4)

Compound: ZnIr2Cl
Source: the Alexandria database
Functional: PBE
Structure: optimized geometry

Total magnetization in μB/cell: 0.00
Relative energy among the computed polymorphs in eV/atom: 0.301
Total energy in eV per cell: -38.1
Energy relative to the elements, uncorrected in eV per atom: 0.45

a = 4.3792 Å, b = 2.8017 Å, c = 10.2386 Å
α = 90.00°, β = 90.00°, γ = 90.00°
Space group Amm2 (No. 38)
Asymmetric unit:
Zn  0.0000  0.0000  0.0000 (multiplicity 2)
Ir  0.5000  0.0000  0.2533 (multiplicity 2)
Ir  0.5000  0.0000  0.5230 (multiplicity 2)
Cl  0.0000  0.0000  0.7612 (multiplicity 2)

Compound: BiPIrSN
Source: the Alexandria database
Functional: PBE
Structure: optimized geometry

Total magnetization in μB/cell: 0.00
Relative energy among the computed polymorphs in eV/atom: 0.161
Total energy in eV per cell: -30.6
Energy relative to the elements, uncorrected in eV per atom: 0.01

a = 3.6559 Å, b = 4.0373 Å, c = 6.3203 Å
α = 72.85°, β = 79.25°, γ = 85.09°
Space group P1 (No. 1)
Asymmetric unit:
Bi  0.0000  0.0000  0.0000 (multiplicity 1)
P  0.6738  0.0821  0.5741 (multiplicity 1)
Ir  0.1877  0.7264  0.6369 (multiplicity 1)
S  0.4826  0.5162  0.2954 (multiplicity 1)
N  0.6379  0.3472  0.7393 (multiplicity 1)

Compound: AcTeS4
Source: the Alexandria database
Functional: PBE
Structure: optimized geometry

Total magnetization in μB/cell: 1.23
Relative energy among the computed polymorphs in eV/atom: 0.000
Total energy in eV per cell: -55.8
Energy relative to the elements, uncorrected in eV per atom: -0.69

a = 5.9463 Å, b = 8.9152 Å, c = 5.7841 Å
α = 90.00°, β = 97.74°, γ = 90.00°
Space group P2_1/c (No. 14)
Asymmetric unit:
Ac  0.0000  0.0000  0.0000 (multiplicity 2)
Te  0.5000  0.0000  0.5000 (multiplicity 2)
S  0.1002  0.1359  0.5138 (multiplicity 4)
S  0.4849  0.6090  0.4278 (multiplicity 4)

Compound: NaP2Pd2Pt
Source: the Alexandria database
Functional: PBE
Structure: optimized geometry

Total magnetization in μB/cell: 0.00
Total energy in eV per cell: -61.0
Calculated formation energy in kJ/mol of formula units: -188

a = 5.4313 Å, b = 11.0856 Å, c = 4.1355 Å
α = 90.00°, β = 90.00°, γ = 90.00°
Space group Pnnm (No. 58)
Asymmetric unit:
Na  0.0000  0.0000  0.0000 (multiplicity 2)
P  0.1384  0.3063  0.0000 (multiplicity 4)
Pd  0.0557  0.6690  0.5000 (multiplicity 4)
Pt  0.0000  0.5000  0.0000 (multiplicity 2)